First-principles (PBE) data for a relaxed LaCr3Cl crystal, as listed in Alexandria.

```
5
Lattice="4.593 0.000 0.000 0.000 4.593 0.000 0.000 0.000 4.593" Properties=species:S:1:pos:R:3 pbc="T T T"
La 0.000 0.000 0.000
Cr 2.296 0.000 0.000
Cr 0.000 2.296 0.000
Cr 0.000 0.000 2.296
Cl 2.296 2.296 2.296
```

Results
- Formation energy from raw total energies: 2.348 eV/atom
- SG: Pm-3m (221)
- Polymorph energy (0 for the lowest one): 1576.5 meV/atom
- Uncorrected energy: -23.90 eV/cell